Material: CuAgGeSe3
Method: DFT, meta-GGA SCAN
State: PBEsol geometry

The structure belongs to space group Cc (No. 9); the cell edges are 6.967, 12.048 and 7.031 Å and the angles 90.00°, 111.34° and 90.00°. Symmetry generates all atoms from Cu at (0.000, 0.083, 0.000), Ag at (0.003, 0.252, 0.513), Ge at (0.024, 0.416, 0.028), Se at (0.371, 0.074, 0.145), Se at (0.390, 0.428, 0.139) and Se at (0.403, 0.251, 0.620).

For the uncorrected formation energy, the calculation gives -21.75 kJ/mol of atoms. The value obtained for the density is 5.81 g cm⁻³.

=====

Material: CuAg2HIr
Method: DFT, meta-GGA SCAN
State: PBEsol geometry

The structure belongs to space group P4/mmm (No. 123); the cell edges are 5.046, 5.046 and 4.577 Å and the angles 90.00°, 90.00° and 90.00°. Symmetry generates all atoms from Cu at (0.000, 0.000, 0.000), Ag at (0.000, 0.500, 0.500), H at (0.500, 0.500, 0.000) and Ir at (0.000, 0.000, 0.500).

The value obtained for the density is 6.73 g cm⁻³. The value obtained for the total energy is -28.821 eV per atom.

=====

Material: Cu2AgHS2O10
Method: DFT, meta-GGA SCAN
State: PBEsol geometry

The structure belongs to space group C2/m (No. 12); the cell edges are 8.538, 5.944 and 7.971 Å and the angles 90.00°, 119.28° and 90.00°. Symmetry generates all atoms from Cu at (0.250, 0.250, 0.000), Ag at (0.000, 0.000, 0.500), H at (0.000, 0.000, 0.000), S at (0.078, 0.500, 0.288), O at (0.039, 0.291, 0.755), O at (0.156, 0.000, 0.049), O at (0.164, 0.500, 0.168) and O at (0.208, 0.500, 0.492).

The value obtained for the density is 4.33 g cm⁻³. The value obtained for the total energy is -10.231 eV per atom.

=====

Material: Cu2AgHSe2O10
Method: DFT, meta-GGA SCAN
State: PBEsol geometry

The structure belongs to space group C2/m (No. 12); the cell edges are 8.713, 6.002 and 7.970 Å and the angles 90.00°, 118.07° and 90.00°. Symmetry generates all atoms from Cu at (0.250, 0.250, 0.000), Ag at (0.000, 0.000, 0.500), H at (0.000, 0.000, 0.000), Se at (0.076, 0.500, 0.295), O at (0.053, 0.267, 0.752), O at (0.155, 0.000, 0.050), O at (0.166, 0.500, 0.153) and O at (0.221, 0.500, 0.519).

The value obtained for the density is 5.00 g cm⁻³. The value obtained for the total energy is -11.090 eV per atom.

=====

Material: Hf2Cu2Ag
Method: DFT, meta-GGA SCAN
State: PBEsol geometry

The structure belongs to space group P4/mbm (No. 127); the cell edges are 6.915, 6.915 and 3.429 Å and the angles 90.00°, 90.00° and 90.00°. Symmetry generates all atoms from Hf at (0.169, 0.331, 0.000), Cu at (0.126, 0.626, 0.500) and Ag at (0.000, 0.000, 0.500).

For the formation energy from the elements, the calculation gives -0.16 eV per atom. The value obtained for the density is 11.99 g cm⁻³.

=====

Material: HfCu2Ag
Method: DFT, meta-GGA SCAN
State: PBEsol geometry

The structure belongs to space group Fm-3m (No. 225); the cell edges are 6.183, 6.183 and 6.183 Å and the angles 90.00°, 90.00° and 90.00°. Symmetry generates all atoms from Hf at (0.000, 0.000, 0.000), Cu at (0.250, 0.250, 0.250) and Ag at (0.000, 0.000, 0.500).

For the formation energy from the elements, the calculation gives -0.06 eV per atom. The value obtained for the density is 11.62 g cm⁻³.

=====

Material: HfNb2CuAg
Method: DFT, meta-GGA SCAN
State: PBEsol geometry

The structure belongs to space group P4/mmm (No. 123); the cell edges are 4.812, 4.812 and 4.725 Å and the angles 90.00°, 90.00° and 90.00°. Symmetry generates all atoms from Hf at (0.000, 0.000, 0.000), Nb at (0.000, 0.500, 0.000), Cu at (0.000, 0.000, 0.500) and Ag at (0.500, 0.500, 0.500).

For the formation energy from the elements, the calculation gives 1.52 eV per atom. The value obtained for the density is 8.13 g cm⁻³.

=====

Material: Hf2CuAgRu
Method: DFT, meta-GGA SCAN
State: PBEsol geometry

The structure belongs to space group P4/mmm (No. 123); the cell edges are 4.794, 4.794 and 4.657 Å and the angles 90.00°, 90.00° and 90.00°. Symmetry generates all atoms from Hf at (0.000, 0.500, 0.000), Cu at (0.000, 0.000, 0.500), Ag at (0.500, 0.500, 0.500) and Ru at (0.000, 0.000, 0.000).

For the formation energy from the elements, the calculation gives 0.51 eV per atom. The value obtained for the density is 9.77 g cm⁻³.